Record 1
The following is a GGA-PBE calculation of ZrSbCl2 after structural relaxation, from Alexandria via LeMat-Bulk.

## Properties
- excess energy over the best structure of this formula in the dataset (meV per atom) = 330.9
- density of states at the Fermi level (states/eV per cell) = 5.4
- formation energy (no corrections) (eV/atom) = -0.745
- spin magnetization (μB per atom) = 0.00
- ρ (g/cm3) = 3.86
- DFT total energy (eV per atom) = -4.836

```
data_ZrSbCl2
_chemical_formula_sum 'Zr2 Sb2 Cl4'
_cell_length_a 3.1552
_cell_length_b 6.1048
_cell_length_c 12.6648
_cell_angle_alpha 90.00
_cell_angle_beta 90.00
_cell_angle_gamma 90.00
_symmetry_space_group_name_H-M 'C m m m'
_symmetry_Int_Tables_number 65
_symmetry_space_group_name_Hall '-C 2 2'
loop_
_atom_site_label
_atom_site_type_symbol
_atom_site_fract_x
_atom_site_fract_y
_atom_site_fract_z
Zr1 Zr 0.0000 0.0000 0.0000
Sb1 Sb 0.0000 0.0000 0.5000
Cl1 Cl 0.0000 0.5000 0.1587
```

=====

Record 2
The following is a GGA-PBE calculation of Tc2TeSe after structural relaxation, from Alexandria via LeMat-Bulk.

## Properties
- excess energy over the best structure of this formula in the dataset (meV per atom) = 203.5
- density of states at the Fermi level (states/eV per cell) = 5.8
- formation energy (no corrections) (eV/atom) = 0.192
- spin magnetization (μB per atom) = 0.00
- ρ (g/cm3) = 7.56
- DFT total energy (eV per atom) = -6.648

```
data_Tc2TeSe
_chemical_formula_sum 'Tc4 Te2 Se2'
_cell_length_a 8.9512
_cell_length_b 3.1335
_cell_length_c 6.3560
_cell_angle_alpha 90.00
_cell_angle_beta 97.39
_cell_angle_gamma 90.00
_symmetry_space_group_name_H-M 'C 1 m 1'
_symmetry_Int_Tables_number 8
loop_
_symmetry_equiv_pos_as_xyz
'x,y,z'
'x,-y,z'
'x+1/2,y+1/2,z'
'x+1/2,-y+1/2,z'
loop_
_atom_site_label
_atom_site_type_symbol
_atom_site_fract_x
_atom_site_fract_y
_atom_site_fract_z
Tc1 Tc 0.0000 0.0000 0.0000
Tc2 Tc 0.2346 0.5000 0.1419
Te1 Te 0.2600 0.0000 0.7938
Se1 Se 0.4671 0.0000 0.2990
```